Below is MnSiOF2 after structural relaxation, with properties calculated at the GGA+U level.

```
MnSiOF2
1.0
4.079 0.000 0.000
0.000 4.079 0.000
0.000 0.000 4.017
Mn Si O F
1 1 1 2
Cartesian
0.000 0.000 0.000
2.040 2.040 2.008
0.000 0.000 2.008
0.000 2.040 0.000
2.040 0.000 0.000
```

Results
The relative energy among the computed polymorphs comes out at 93 meV per atom. For the total moment, the calculation gives 0.930 μB per atom. As for the space group: No. 123. The density of states at the Fermi level comes out at 0.26 states/eV per atom.